# 1
Material: BeNi2Rh
Method: DFT, SCAN
State: single point on PBEsol structure

Unit cell a=2.5545 b=2.5545 c=7.7872 alpha=80.56 beta=80.56 gamma=60.00
Atoms (fractional coordinates):
Rh 0.4940 0.4940 0.5179
Ni 0.2532 0.2532 0.2404
Ni 0.0055 0.0055 0.9834
Be 0.7472 0.7472 0.7583

Properties
- D(E_F) (states/eV/atom) = 0.709
- total energy (eV/cell) = -70.97
- density (g/cm3) = 8.81
- calculated volume (Å³/atom) = 10.802
- SG = R3m


# 2
Material: LaHgS2Cl
Method: DFT, SCAN
State: single point on PBEsol structure

Unit cell a=5.4029 b=5.4956 c=5.4956 alpha=90.00 beta=90.00 gamma=90.00
Atoms (fractional coordinates):
La 0.0000 0.0000 0.0000
S 0.0000 0.5000 0.0000
S 0.0000 0.0000 0.5000
Cl 0.5000 0.0000 0.0000
Hg 0.5000 0.5000 0.5000

Properties
- D(E_F) (states/eV/atom) = 0.759
- E_form (uncorrected) (kJ/mol of atoms) = -83.12
- total energy (eV/cell) = -142.81
- density (g/cm3) = 4.47
- calculated volume (Å³/atom) = 32.636
- SG = P4/mmm


# 3
Material: Rb3Mo15Se17
Method: DFT, SCAN
State: single point on PBEsol structure

Unit cell a=9.4393 b=9.4393 c=20.9003 alpha=90.00 beta=90.00 gamma=120.00
Atoms (fractional coordinates):
Mo 0.8378 0.4839 0.7500
Mo 0.3146 0.4959 0.1436
Mo 0.3570 0.8383 0.0348
Mo 0.4959 0.1813 0.6436
Mo 0.6854 0.5041 0.8564
Mo 0.4814 0.6430 0.4652
Mo 0.4959 0.1813 0.8564
Mo 0.8187 0.3146 0.8564
Mo 0.1617 0.5186 0.0348
Mo 0.6430 0.1617 0.9652
Mo 0.8383 0.4814 0.5348
Mo 0.1813 0.6854 0.3564
Mo 0.3539 0.8378 0.2500
Mo 0.1813 0.6854 0.1436
Mo 0.1622 0.5161 0.2500
Mo 0.1617 0.5186 0.4652
Mo 0.6430 0.1617 0.5348
Mo 0.3570 0.8383 0.4652
Mo 0.6854 0.5041 0.6436
Mo 0.5186 0.3570 0.9652
Mo 0.8383 0.4814 0.9652
Mo 0.3146 0.4959 0.3564
Mo 0.8187 0.3146 0.6436
Mo 0.5041 0.8187 0.3564
Mo 0.5041 0.8187 0.1436
Mo 0.4839 0.6461 0.2500
Mo 0.5186 0.3570 0.5348
Mo 0.6461 0.1622 0.7500
Mo 0.5161 0.3539 0.7500
Mo 0.4814 0.6430 0.0348
Se 0.0001 0.3718 0.3580
Se 0.2917 0.3287 0.2500
Se 0.9587 0.2903 0.9566
Se 0.9630 0.2917 0.7500
Se 0.3316 0.0413 0.9566
Se 0.3718 0.3718 0.6420
Se 0.6713 0.9630 0.2500
Se 0.9587 0.2903 0.5434
Se 0.3333 0.6667 0.9388
Se 0.7083 0.6713 0.7500
Se 0.0370 0.7083 0.2500
Se 0.9999 0.6282 0.8580
Se 0.3718 0.9999 0.3580
Se 0.3287 0.0370 0.7500
Se 0.0413 0.7097 0.4566
Se 0.6282 0.6282 0.1420
Se 0.3718 0.9999 0.1420
Se 0.2903 0.3316 0.0434
Se 0.7097 0.6684 0.5434
Se 0.3333 0.6667 0.5612
Se 0.6684 0.9587 0.4566
Se 0.7097 0.6684 0.9566
Se 0.0001 0.3718 0.1420
Se 0.2903 0.3316 0.4566
Se 0.9999 0.6282 0.6420
Se 0.6282 0.6282 0.3580
Se 0.6282 0.0001 0.8580
Se 0.0413 0.7097 0.0434
Se 0.6667 0.3333 0.0612
Se 0.3718 0.3718 0.8580
Se 0.6282 0.0001 0.6420
Se 0.6667 0.3333 0.4388
Se 0.3316 0.0413 0.5434
Se 0.6684 0.9587 0.0434
Rb 0.0000 0.0000 0.6391
Rb 0.6667 0.3333 0.2500
Rb 0.0000 0.0000 0.8609
Rb 0.3333 0.6667 0.7500
Rb 0.0000 0.0000 0.1391
Rb 0.0000 0.0000 0.3609

Properties
- D(E_F) (states/eV/atom) = 0.227
- E_form (uncorrected) (kJ/mol of atoms) = -69.35
- total energy (eV/cell) = -1903.97
- density (g/cm3) = 6.26
- calculated volume (Å³/atom) = 23.039
- SG = P6_3/m


# 4
Material: MgTe2Mo
Method: DFT, SCAN
State: single point on PBEsol structure

Unit cell a=3.4457 b=4.9388 c=6.0333 alpha=98.47 beta=90.00 gamma=110.42
Atoms (fractional coordinates):
Mg 0.5034 0.0068 0.5121
Te 0.9808 0.9615 0.8893
Te 0.7590 0.5181 0.3668
Mo 0.2568 0.5136 0.7317

Properties
- D(E_F) (states/eV/atom) = 0.446
- E_form (uncorrected) (kJ/mol of atoms) = 2.73
- total energy (eV/cell) = -114.25
- density (g/cm3) = 6.56
- calculated volume (Å³/atom) = 23.756
- SG = Cm


Which of these has the lowest calculated volume?
BeNi2Rh


What is the density in the third record?
6.26 g/cm3